Record 1
VASP calculation (PBE) on a relaxed structure of AcTh2Te5.

Values from the calculation:
Uncorrected energy ... -90.66 eV for the cell shown
V ... 32.94 Å³/atom

extended XYZ file:
```
16
Lattice="-4.2285 4.2285 7.3690 4.2285 -4.2285 7.3690 4.2285 4.2285 -7.3690" Properties=species:S:1:pos:R:3 pbc="T T T"
Ac 0.0000 0.0000 3.6845
Ac 0.0000 0.0000 11.0535
Th 5.4784 1.2499 0.0000
Th 1.2499 2.9787 0.0000
Th 2.9787 1.2499 7.3690
Th -1.2499 2.9787 7.3690
Te 0.0000 0.0000 0.0000
Te 2.9127 1.3159 -2.1349
Te 2.9127 -1.3159 5.2340
Te 2.9127 1.3159 2.1349
Te 2.9127 -1.3159 9.5039
Te 0.0000 0.0000 7.3690
Te 1.3159 5.5444 -2.1349
Te 1.3159 2.9127 5.2340
Te 1.3159 5.5444 2.1349
Te 1.3159 2.9127 9.5039
```

Record 2
VASP calculation (PBE) on a relaxed structure of BeAlCoRe.

Values from the calculation:
V ... 11.99 Å³/atom
Excess energy over the best structure of this formula in the dataset ... 0.000 eV/atom

extended XYZ file:
```
16
Lattice="5.7666 0.0000 0.0000 0.0000 5.7666 0.0000 0.0000 0.0000 5.7666" Properties=species:S:1:pos:R:3 pbc="T T T"
Be 0.0000 0.0000 0.0000
Be 0.0000 2.8833 2.8833
Be 2.8833 0.0000 2.8833
Be 2.8833 2.8833 0.0000
Al 1.4417 1.4417 1.4417
Al 1.4417 4.3250 4.3250
Al 4.3250 1.4417 4.3250
Al 4.3250 4.3250 1.4417
Co 0.0000 0.0000 2.8833
Co 0.0000 2.8833 0.0000
Co 2.8833 0.0000 0.0000
Co 2.8833 2.8833 2.8833
Re 1.4417 1.4417 4.3250
Re 1.4417 4.3250 1.4417
Re 4.3250 1.4417 1.4417
Re 4.3250 4.3250 4.3250
```

Record 3
VASP calculation (PBE) on a relaxed structure of CsKRe.

Values from the calculation:
Uncorrected energy ... -33.07 eV for the cell shown
V ... 48.79 Å³/atom

extended XYZ file:
```
12
Lattice="8.3658 0.0000 0.0000 0.0000 8.3658 0.0000 0.0000 0.0000 8.3658" Properties=species:S:1:pos:R:3 pbc="T T T"
Cs 0.0000 0.0000 0.0000
Cs 0.0000 4.1829 4.1829
Cs 4.1829 0.0000 4.1829
Cs 4.1829 4.1829 0.0000
K 0.0000 0.0000 4.1829
K 0.0000 4.1829 0.0000
K 4.1829 0.0000 0.0000
K 4.1829 4.1829 4.1829
Re 2.0914 2.0914 2.0914
Re 2.0914 6.2743 6.2743
Re 6.2743 2.0914 6.2743
Re 6.2743 6.2743 2.0914
```

Record 4
VASP calculation (PBE) on a relaxed structure of K2CuSnCl6.

Values from the calculation:
Uncorrected energy ... -33.53 eV for the cell shown
V ... 26.59 Å³/atom

extended XYZ file:
```
10
Lattice="0.0000 5.1040 5.1040 5.1040 0.0000 5.1040 5.1040 5.1040 0.0000" Properties=species:S:1:pos:R:3 pbc="T T T"
K 2.5520 2.5520 2.5520
K 7.6560 7.6560 7.6560
Cu 0.0000 0.0000 0.0000
Sn 5.1040 5.1040 5.1040
Cl 5.1040 5.1040 2.4502
Cl 5.1040 2.4502 5.1040
Cl 7.7577 5.1040 5.1040
Cl 2.4502 5.1040 5.1040
Cl 5.1040 7.7577 5.1040
Cl 5.1040 5.1040 7.7577
```

Q: The lowest V belongs to which entry?
A: BeAlCoRe

Q: Which value of V does entry 2 give?
A: 11.99 Å³/atom

Q: V of number 2 (BeAlCoRe)?
A: 11.99 Å³/atom